## A
Crystalline SmY4Er at its relaxed geometry, computed with PBE.

a = 3.456 Å, b = 5.857 Å, c = 9.888 Å
α = 90.00°, β = 90.00°, γ = 90.00°
Sites, in units of the cell vectors:
1 Sm 0.997 0.001 0.502
2 Y 0.997 0.501 0.690
3 Y 0.997 0.501 0.314
4 Y 0.497 0.001 0.187
5 Y 0.497 0.001 0.817
6 Er 0.497 0.501 0.002

**Total magnetization**: 0.000 μB/f.u.
**DOS(E_F)**: 2.267 states/eV/atom

## B
Crystalline SmY4Er at its relaxed geometry, computed with PBE.

a = 6.215 Å, b = 6.215 Å, c = 12.091 Å
α = 104.86°, β = 104.86°, γ = 60.01°
Sites, in units of the cell vectors:
1 Sm 0.084 0.916 0.250
2 Sm 0.916 0.084 0.750
3 Y 0.251 0.414 0.750
4 Y 0.167 0.667 0.500
5 Y 0.833 0.333 0.500
6 Y 0.414 0.251 0.250
7 Y 0.586 0.749 0.750
8 Y 0.333 0.833 0.000
9 Y 0.667 0.167 0.000
10 Y 0.749 0.586 0.250
11 Er 0.500 0.000 0.500
12 Er 0.000 0.500 0.000

**Total magnetization**: 0.000 μB/f.u.
**DOS(E_F)**: 1.421 states/eV/atom

Each structure's energy above the most stable one, in meV per atom: A 187; B 0.

## A
Crystalline Sm5Y2Er12 at its relaxed geometry, computed with PBE.

a = 6.260 Å, b = 9.033 Å, c = 13.780 Å
α = 128.15°, β = 94.73°, γ = 91.90°
Sites, in units of the cell vectors:
1 Sm 0.273 0.504 0.555
2 Sm 0.122 0.669 0.156
3 Sm 0.000 0.000 0.500
4 Sm 0.878 0.331 0.844
5 Sm 0.727 0.496 0.445
6 Y 0.544 0.840 0.844
7 Y 0.456 0.160 0.156
8 Er 0.984 0.110 0.269
9 Er 0.073 0.786 0.952
10 Er 0.601 0.728 0.056
11 Er 0.177 0.545 0.340
12 Er 0.644 0.608 0.252
13 Er 0.504 0.936 0.611
14 Er 0.496 0.064 0.389
15 Er 0.823 0.455 0.660
16 Er 0.356 0.392 0.748
17 Er 0.927 0.214 0.048
18 Er 0.399 0.272 0.944
19 Er 0.016 0.890 0.731

**Total magnetization**: 0.001 μB/f.u.
**DOS(E_F)**: 1.575 states/eV/atom

## B
Crystalline Sm5Y2Er12 at its relaxed geometry, computed with PBE.

a = 9.253 Å, b = 9.036 Å, c = 8.574 Å
α = 91.58°, β = 90.00°, γ = 120.80°
Sites, in units of the cell vectors:
1 Sm 0.230 0.460 0.572
2 Sm 0.294 0.588 0.983
3 Sm 0.000 0.000 0.500
4 Sm 0.706 0.412 0.017
5 Sm 0.770 0.540 0.428
6 Y 0.675 0.000 0.000
7 Y 0.325 0.000 0.000
8 Er 0.923 0.846 0.124
9 Er 0.030 0.701 0.759
10 Er 0.672 0.701 0.759
11 Er 0.181 0.742 0.334
12 Er 0.561 0.742 0.334
13 Er 0.443 0.886 0.665
14 Er 0.557 0.114 0.335
15 Er 0.819 0.258 0.666
16 Er 0.439 0.258 0.666
17 Er 0.970 0.299 0.241
18 Er 0.328 0.299 0.241
19 Er 0.077 0.154 0.876

**Total magnetization**: 0.000 μB/f.u.
**DOS(E_F)**: 1.333 states/eV/atom

Each structure's energy above the most stable one, in meV per atom: A 0; B 64.